Compound: La2MnW
Source: Alexandria via LeMat-Bulk
Functional: PBE
Structure: relaxed

Lattice parameters (Å, degrees): 5.0414 5.0414 5.0414 60.00 60.00 60.00
Closest atoms and distances in Å follow each position.
Fractional coordinates of all 4 atoms:
1 Mn 0.0000 0.0000 0.0000  8 La 3.09
2 W 0.5000 0.5000 0.5000  8 La 3.09
3 La 0.2500 0.2500 0.2500  4 Mn 3.09, 4 W 3.09
4 La 0.7500 0.7500 0.7500  4 Mn 3.09, 4 W 3.09

Summary:
Total magnetization ... 0.00 μB per formula unit
Calculated density ... 9.47 g cm⁻³
Offset from the most stable computed form ... 62.2 kJ/mol of atoms

Compound: Sc2FeMo
Source: Alexandria via LeMat-Bulk
Functional: PBE
Structure: relaxed

Lattice parameters (Å, degrees): 4.5337 4.5337 4.5337 60.00 60.00 60.00
Closest atoms and distances in Å follow each position.
Fractional coordinates of all 4 atoms:
1 Fe 0.5000 0.5000 0.5000  4 Sc 2.78, 4 Mo 2.78
2 Mo 0.2500 0.2500 0.2500  4 Fe 2.78, 4 Sc 2.78
3 Sc 0.0000 0.0000 0.0000  4 Mo 2.78, 4 Sc 2.78
4 Sc 0.7500 0.7500 0.7500  4 Fe 2.78, 4 Sc 2.78

Summary:
Total magnetization ... 0.00 μB per formula unit
Calculated density ... 6.09 g cm⁻³
Offset from the most stable computed form ... 21.7 kJ/mol of atoms

| no. | formation enthalpy at 0 K (eV per atom) |
| --- | --- |
| 1 | 0.963 |
| 2 | 0.251 |